No. 1
Compound: HgAs2HSe
Source: the Alexandria database
Functional: SCAN
Structure: single point on PBEsol structure

Summary:
Space-group type: P4/mmm (123)
Total DFT energy (no corrections) in eV per formula unit: -125.036

a = 5.1590 Å, b = 5.1590 Å, c = 5.2929 Å
α = 90.00°, β = 90.00°, γ = 90.00°
Closest atoms and distances in Å follow each position.
Positions (direct):
1 As 0.0000 0.5000 0.0000  2 Hg 2.58
2 As 0.5000 0.0000 0.0000  2 Hg 2.58
3 Se 0.0000 0.0000 0.5000  2 Hg 2.65
4 H 0.5000 0.5000 0.5000  4 Se 3.65, 8 As 3.70
5 Hg 0.0000 0.0000 0.0000  4 As 2.58, 2 Se 2.65

No. 2
Compound: Li7NbS6
Source: the Alexandria database
Functional: SCAN
Structure: single point on PBEsol structure

Summary:
Energy above the most stable polymorph in this dataset in meV/atom: 0.0
Space-group type: Pc (7)
Raw formation energy in eV per atom: -1.339

a = 6.9462 Å, b = 7.0908 Å, c = 10.0887 Å
α = 90.00°, β = 88.65°, γ = 90.00°
Closest atoms and distances in Å follow each position.
Positions (direct):
1 Li 0.3275 0.0965 0.8002  4 S 2.46-2.62, 1 Li 2.58
2 S 0.6846 0.2764 0.6559  1 Nb 2.28, 2 Li 2.50-2.52
3 Nb 0.9397 0.7266 0.0095  4 S 2.26-2.28
4 S 0.4505 0.7649 0.7471  7 Li 2.42-2.55
5 Li 0.5688 0.4707 0.8632  4 S 2.51-2.67
6 S 0.1594 0.2717 0.6276  1 Nb 2.26, 2 Li 2.38-2.46
7 Li 0.6718 0.6143 0.5779  4 S 2.38-2.52, 1 Li 2.64
8 Li 0.8011 0.1698 0.0270  4 S 2.44-2.60, 1 Li 2.64
9 Nb 0.4397 0.2734 0.5095  4 S 2.26-2.28
10 S 0.9534 0.7865 0.5158  7 Li 2.38-2.57
11 Li 0.9350 0.1354 0.4805  4 S 2.38-2.65, 1 Li 2.58
12 Li 0.0688 0.5293 0.3632  4 S 2.51-2.67
13 S 0.4534 0.2135 0.0158  7 Li 2.38-2.57
14 Li 0.1196 0.6335 0.7137  4 S 2.51-2.72, 1 Li 2.64
15 S 0.6594 0.7283 0.1276  1 Nb 2.26, 2 Li 2.38-2.46
16 S 0.9843 0.9746 0.8695  1 Nb 2.27, 2 Li 2.43-2.44
17 Li 0.6196 0.3665 0.2137  4 S 2.51-2.72, 1 Li 2.64
18 Li 0.8275 0.9035 0.3002  4 S 2.46-2.62, 1 Li 2.58
19 S 0.9505 0.2351 0.2471  7 Li 2.42-2.55
20 S 0.4486 0.5480 0.3941  1 Nb 2.27, 2 Li 2.49-2.51
21 Li 0.3011 0.8302 0.5270  4 S 2.44-2.60, 1 Li 2.64
22 Li 0.1718 0.3857 0.0779  4 S 2.38-2.52, 1 Li 2.64
23 Li 0.2462 0.0653 0.1993  4 S 2.42-2.54, 1 Li 2.64
24 S 0.1846 0.7236 0.1559  1 Nb 2.28, 2 Li 2.50-2.52
25 S 0.9486 0.4520 0.8941  1 Nb 2.27, 2 Li 2.49-2.51
26 S 0.4843 0.0254 0.3695  1 Nb 2.27, 2 Li 2.43-2.44
27 Li 0.4350 0.8646 0.9805  4 S 2.38-2.65, 1 Li 2.58
28 Li 0.7462 0.9347 0.6993  4 S 2.42-2.54, 1 Li 2.64

No. 3
Compound: K3SF
Source: the Alexandria database
Functional: SCAN
Structure: single point on PBEsol structure

Summary:
Space-group type: Pm-3m (221)
Raw formation energy in eV per atom: -1.880

a = 4.9937 Å, b = 4.9937 Å, c = 4.9937 Å
α = 90.00°, β = 90.00°, γ = 90.00°
Closest atoms and distances in Å follow each position.
Positions (direct):
1 K 0.0000 0.0000 0.5000  2 F 2.50
2 K 0.5000 0.0000 0.0000  2 F 2.50
3 F 0.0000 0.0000 0.0000  6 K 2.50
4 K 0.0000 0.5000 0.0000  2 F 2.50
5 S 0.5000 0.5000 0.5000  12 K 3.53

No. 4
Compound: YMnP2
Source: the Alexandria database
Functional: SCAN
Structure: single point on PBEsol structure

Summary:
Energy above the most stable polymorph in this dataset in meV/atom: 0.0
Space-group type: Cmmm (65)
DFT formation energy in eV/atom: -0.6602

a = 3.4869 Å, b = 4.4040 Å, c = 4.4040 Å
α = 97.51°, β = 90.00°, γ = 90.00°
Closest atoms and distances in Å follow each position.
Positions (direct):
1 Y 0.5000 0.0000 0.0000  8 P 2.81, 2 Mn 2.90
2 P 0.0000 0.5000 0.0000  4 Y 2.81, 4 Mn 2.81, 2 P 2.90
3 Mn 0.5000 0.5000 0.5000  8 P 2.81, 2 Y 2.90
4 P 0.0000 0.0000 0.5000  4 Mn 2.81, 4 Y 2.81, 2 P 2.90

No. 5
Compound: BaAl3Bi
Source: the Alexandria database
Functional: SCAN
Structure: single point on PBEsol structure

Summary:
Space-group type: Pm-3m (221)
DFT formation energy in eV/atom: 0.5416

a = 5.5814 Å, b = 5.5814 Å, c = 5.5814 Å
α = 90.00°, β = 90.00°, γ = 90.00°
Closest atoms and distances in Å follow each position.
Positions (direct):
1 Ba 0.5000 0.5000 0.5000  12 Al 3.95
2 Al 0.5000 0.0000 0.0000  2 Bi 2.79
3 Bi 0.0000 0.0000 0.0000  6 Al 2.79
4 Al 0.0000 0.5000 0.0000  2 Bi 2.79
5 Al 0.0000 0.0000 0.5000  2 Bi 2.79

No. 6
Compound: LiHgPb2
Source: the Alexandria database
Functional: SCAN
Structure: single point on PBEsol structure

Summary:
Space-group type: R3m (160)
DFT formation energy in eV/atom: -0.1648

a = 3.4587 Å, b = 3.4587 Å, c = 9.8337 Å
α = 79.87°, β = 79.87°, γ = 60.00°
Closest atoms and distances in Å follow each position.
Positions (direct):
1 Hg 0.5111 0.5111 0.4666  3 Li 2.75
2 Pb 0.7530 0.7530 0.7410  3 Hg 3.31, 9 Pb 3.37-3.46
3 Li 0.2435 0.2435 0.2695  3 Hg 2.75
4 Pb 0.9924 0.9924 0.0229  3 Li 3.10, 9 Pb 3.37-3.46